[1]
## CaCeCdGa (PBE-GGA)

Data for crystalline CaCeCdGa at its relaxed geometry.

Unit cell a=3.580 b=3.580 c=8.100 alpha=90.00 beta=90.00 gamma=90.00
Positions (direct):
Ca: 0.000 0.000 0.000
Ce: 0.000 0.000 0.535
Cd: 0.500 0.500 0.261
Ga: 0.500 0.500 0.765

Results
ΔH_f (0 K) (eV/atom): -0.354
Space-group type: No. 99
Electronic total energy (eV per atom): -3.32
M_tot (Bohr magnetons per cell): 0.8
Volume (Å³/cell): 103.8



[2]
## NaI2BrN (PBE-GGA)

Data for crystalline NaI2BrN at its relaxed geometry.

Unit cell a=6.054 b=6.054 c=4.859 alpha=90.00 beta=90.00 gamma=90.00
Positions (direct):
Na: 0.000 0.000 0.000
I: 0.000 0.500 0.000
I: 0.500 0.000 0.000
Br: 0.500 0.500 0.500
N: 0.000 0.000 0.500

Results
Space-group type: No. 123
Formation energy (no corrections) (eV per atom): 0.8693
Electronic total energy (eV per atom): -2.01
M_tot (Bohr magnetons per cell): 5.1
Volume (Å³/cell): 178.1